i:
CsLa3I: relaxed, GGA-PBE.

a = 5.983 Å, b = 5.983 Å, c = 5.983 Å
α = 90.00°, β = 90.00°, γ = 90.00°
Fractional coordinates of all 5 atoms:
Cs1 0.000 0.000 0.000
La1 0.000 0.000 0.500
La2 0.000 0.500 0.000
La3 0.500 0.000 0.000
I1 0.500 0.500 0.500

Properties
Fermi-level density of states in states/eV per cell: 6.68
SG: Pm-3m

=====

ii:
CsLa3I: relaxed, GGA-PBE.

a = 6.172 Å, b = 6.172 Å, c = 6.172 Å
α = 90.00°, β = 90.00°, γ = 90.00°
Fractional coordinates of all 5 atoms:
Cs1 0.000 0.000 0.000
La1 0.000 0.500 0.500
La2 0.500 0.000 0.500
La3 0.500 0.500 0.000
I1 0.500 0.500 0.500

Properties
Fermi-level density of states in states/eV per cell: 10.04
SG: Pm-3m

=====

Relative energy of each structure, in meV per atom: i 675; ii 0.